# 1
4
Lattice="1.7205 -3.8482 0.0000 1.7205 3.8482 0.0000 0.0000 0.0000 8.9650" Properties=species:S:1:pos:R:3 comment="PBE RuBr2Cl, relaxed" raw_formation_energy_kj_per_mol_fu=127.0 sg="Cmmm (65)" pbc="T T T"
Ru 0.0000 0.0000 0.0000
Br 1.7205 0.0000 1.7854
Br 1.7205 0.0000 7.1796
Cl 0.0000 0.0000 4.4825



# 2
8
Lattice="-3.5988 3.5988 4.2269 3.5988 -3.5988 4.2269 3.5988 3.5988 -4.2269" Properties=species:S:1:pos:R:3 comment="PBE RuBr2Cl, relaxed" raw_formation_energy_kj_per_mol_fu=103.8 sg="I-42d (122)" pbc="T T T"
Ru 0.0000 0.0000 0.0000
Ru 0.0000 3.5988 2.1134
Br 1.7994 1.1673 -1.0567
Br 2.4314 -1.7994 5.2836
Br 1.7994 2.4314 3.1702
Br 1.1673 5.3982 1.0567
Cl 3.5988 0.0000 2.1134
Cl 0.0000 0.0000 4.2269



Sequential relative energy among the computed polymorphs output: 568 507 meV/atom